(1)
The following is a DFT calculation (PBE-GGA) of an optimized crystal structure of Pm2Sm5Sc.

a b c (Å): 10.1147 14.3851 3.5944
angles (deg): 90.00 90.00 90.00
Last column: nearest neighbours and their distance in Å.
Space group Cmmm (No. 65)
One atom of each set of equivalent atoms:
Pm1 0.0000 0.2495 0.0000  9 Sm 3.56-3.66, 2 Pm 3.59, 1 Sc 3.60
Sm1 0.0000 0.0000 0.0000  2 Pm 3.59, 10 Sm 3.59-3.62
Sm2 0.2427 0.3781 0.5000  6 Sm 3.51-3.69, 2 Sc 3.51, 4 Pm 3.56-3.66
Sc1 0.0000 0.5000 0.0000  8 Sm 3.51, 2 Sc 3.59, 2 Pm 3.60

- Formation energy: 31 meV per atom
- DOS at the Fermi energy: 11.83 states/eV/f.u.
- E above lowest polymorph: 0.000 eV/atom

=====

(2)
The following is a DFT calculation (PBE-GGA) of an optimized crystal structure of Ag2Pb2Se3.

a b c (Å): 13.6705 4.2374 7.6461
angles (deg): 90.00 111.37 90.00
Last column: nearest neighbours and their distance in Å.
Space group C2/m (No. 12)
One atom of each set of equivalent atoms:
Ag1 0.1707 0.0000 0.4033  4 Se 2.69-2.94, 2 Ag 3.01
Pb1 0.1383 0.5000 0.7709  5 Se 3.08-3.09, 1 Ag 3.34
Se1 0.0000 0.0000 0.5000  2 Ag 2.69
Se2 0.1911 0.5000 0.1979  3 Ag 2.71-2.94

- DOS at the Fermi energy: 0.09 states/eV/f.u.
- Energy relative to the elements, uncorrected: -263 meV per atom

=====

(3)
The following is a DFT calculation (PBE-GGA) of an optimized crystal structure of Li2ErMg5Sc2.

a b c (Å): 10.1646 10.1646 4.4376
angles (deg): 90.00 90.00 90.00
Last column: nearest neighbours and their distance in Å.
Space group P4/mbm (No. 127)
One atom of each set of equivalent atoms:
Li1 0.1168 0.3832 0.0000  6 Mg 2.78-2.86, 3 Sc 2.95-3.06
Er1 0.0000 0.0000 0.0000  8 Mg 3.17
Mg1 0.0000 0.5000 0.5000  4 Li 2.78, 4 Mg 3.01
Mg2 0.0676 0.2119 0.5000  2 Li 2.86, 4 Mg 3.01-3.20, 2 Er 3.17
Sc1 0.1783 0.6783 0.0000  3 Li 2.95-3.06

- Formation energy: 44 meV per atom
- DOS at the Fermi energy: 7.93 states/eV/f.u.